No. 1
An optimized crystal structure of ZnHgIr2, computed with PBE.

Results
**VASP energy**: -4.59 eV per atom
**Magnetization**: 0.00 μB per formula unit
**Formation enthalpy at 0 K**: 5.49 kcal/mol of atoms
**Density**: 16.6 Mg/m³

Cell and atoms, written as extended XYZ:
```
12
Lattice="2.854 0.000 0.000 -1.427 2.472 0.000 0.000 0.000 27.729" Properties=species:S:1:pos:R:3 pbc="T T T"
Zn 0.000 0.000 0.000
Zn 0.000 1.648 18.486
Zn 1.427 0.824 9.243
Hg 0.000 0.000 6.707
Hg 0.000 1.648 25.193
Hg 1.427 0.824 15.950
Ir 0.000 0.000 13.439
Ir 0.000 0.000 20.582
Ir 0.000 1.648 4.196
Ir 0.000 1.648 11.339
Ir 1.427 0.824 2.096
Ir 1.427 0.824 22.682
```

---

No. 2
An optimized crystal structure of TlCuTe2, computed with PBE.

Results
**VASP energy**: -3.24 eV per atom
**Magnetization**: 0.00 μB per formula unit
**Formation energy (no corrections)**: -0.05 eV/atom
**Density**: 7.3 Mg/m³

Cell and atoms, written as extended XYZ:
```
16
Lattice="6.272 0.000 0.000 0.000 10.939 0.000 0.000 0.000 6.912" Properties=species:S:1:pos:R:3 pbc="T T T"
Tl 0.057 1.015 0.000
Tl 3.079 6.485 3.456
Tl 3.193 4.454 0.000
Tl 6.215 9.923 3.456
Cu 0.151 6.675 5.142
Cu 2.985 1.205 1.685
Cu 3.287 9.733 5.142
Cu 6.121 4.264 1.685
Te 0.038 4.290 6.036
Te 0.889 2.304 2.995
Te 2.247 7.773 6.451
Te 3.098 9.760 2.580
Te 3.174 1.179 6.036
Te 4.025 3.166 2.995
Te 5.383 8.635 6.451
Te 6.234 6.649 2.580
```

---

No. 3
An optimized crystal structure of ZrAsBr2, computed with PBE.

Results
**VASP energy**: -4.57 eV per atom
**Magnetization**: 0.00 μB per formula unit
**Formation energy (no corrections)**: -0.44 eV/atom
**Density**: 4.8 Mg/m³

Cell and atoms, written as extended XYZ:
```
12
Lattice="3.340 0.000 0.000 -1.670 2.892 0.000 0.000 0.000 34.892" Properties=species:S:1:pos:R:3 pbc="T T T"
Zr 0.000 0.000 0.000
Zr 0.000 1.928 23.261
Zr 1.670 0.964 11.631
As 0.000 0.000 17.446
As 0.000 1.928 5.815
As 1.670 0.964 29.077
Br 0.000 0.000 13.596
Br 0.000 0.000 21.296
Br 0.000 1.928 1.966
Br 0.000 1.928 9.665
Br 1.670 0.964 25.227
Br 1.670 0.964 32.927
```